# 1
Computed, not measured: a geometry-optimized Pm5SmC3 structure at the PBE-GGA level of DFT.

Unit cell a=7.2661 b=7.2661 c=9.6103 alpha=68.48 beta=68.48 gamma=75.50
Element x y z (fractional)
Pm 0.9671 0.3670 0.3337
Pm 0.2998 0.7002 0.0000
Pm 0.7664 0.7664 0.0342
Pm 0.4337 0.4337 0.3663
Pm 0.5663 0.5663 0.6337
Pm 0.2336 0.2336 0.9658
Pm 0.3670 0.9671 0.3337
Pm 0.7002 0.2998 0.0000
Pm 0.0329 0.6330 0.6663
Pm 0.6330 0.0329 0.6663
Sm 0.0988 0.0988 0.7008
Sm 0.9012 0.9012 0.2992
C 0.6666 0.6666 0.8328
C 0.6685 0.6685 0.3341
C 0.0000 0.0000 0.0000
C 0.0000 0.0000 0.5000
C 0.3334 0.3334 0.1672
C 0.3315 0.3315 0.6659

Results
DOS(E_F) = 10.99 states/eV per cell
formation enthalpy at 0 K = -0.04 eV/atom
E = -6.27 eV per atom

=====

# 2
Computed, not measured: a geometry-optimized LiSbSe2 structure at the PBE-GGA level of DFT.

Unit cell a=3.8214 b=3.2260 c=7.5491 alpha=97.90 beta=90.00 gamma=90.00
Element x y z (fractional)
Li 0.5000 0.2500 0.2500
Sb 0.5000 0.7500 0.7500
Se 0.0000 0.7969 0.0320
Se 0.0000 0.7031 0.4680

Results
DOS(E_F) = 1.42 states/eV per cell
uncorrected formation energy = -417 meV/atom
E = -3.67 eV per atom

=====

# 3
Computed, not measured: a geometry-optimized Sm8P3CS4 structure at the PBE-GGA level of DFT.

Unit cell a=8.0348 b=8.0691 c=8.0347 alpha=119.86 beta=120.00 gamma=90.00
Element x y z (fractional)
Sm 0.2346 0.7307 0.9962
Sm 0.2348 0.7309 0.4696
Sm 0.2523 0.2570 0.5047
Sm 0.7616 0.7307 0.9962
Sm 0.2384 0.2693 0.0038
Sm 0.7477 0.7430 0.4953
Sm 0.7652 0.2691 0.5304
Sm 0.7654 0.2693 0.0038
P 0.5000 0.5000 0.0000
P 0.5000 0.5000 0.5000
P 0.0000 0.5000 0.5000
C 0.0000 0.5000 0.0000
S 0.5000 0.0000 0.0000
S 0.5000 0.0000 0.5000
S 0.0000 0.0000 0.0000
S 0.0000 0.0000 0.5000

Results
DOS(E_F) = 3.41 states/eV per cell
uncorrected formation energy = -1683 meV/atom
E = -6.67 eV per atom